1.
Computed, not measured: a relaxed structure of MgSn2 at the PBE level of DFT.

Unit cell a=7.9642 b=7.9642 c=5.5998 alpha=90.00 beta=90.00 gamma=154.08
With the nearest neighbours (Å) after each atom.
Fractional coordinates of all 6 atoms:
Mg1 0.2833 0.7167 0.2500  6 Sn 3.07-3.16
Mg2 0.7167 0.2833 0.7500  6 Sn 3.07-3.16
Sn1 0.9487 0.0513 0.2500  2 Mg 3.13, 8 Sn 3.22-3.50
Sn2 0.6221 0.3779 0.2500  4 Mg 3.07-3.16, 2 Sn 3.23
Sn3 0.0513 0.9487 0.7500  2 Mg 3.13, 8 Sn 3.22-3.50
Sn4 0.3779 0.6221 0.7500  4 Mg 3.07-3.16, 2 Sn 3.23

As for the symmetry: Cmcm. The formation energy is -0.009 eV/atom. The calculation puts the mass density at 5.60 Mg/m³. The magnetic moment comes out at 0.000 μB per formula unit.


2.
Computed, not measured: a relaxed structure of MgSn at the PBE level of DFT.

Unit cell a=11.1239 b=11.1239 c=3.3578 alpha=90.00 beta=90.00 gamma=90.00
With the nearest neighbours (Å) after each atom.
Fractional coordinates of all 16 atoms:
Sn1 0.4081 0.3270 0.5000  4 Mg 3.03-3.14, 4 Sn 3.08-3.36
Sn2 0.0919 0.1730 0.0000  4 Mg 3.03-3.14, 4 Sn 3.08-3.36
Sn3 0.5919 0.6730 0.5000  4 Mg 3.03-3.14, 4 Sn 3.08-3.36
Sn4 0.1730 0.9081 0.0000  4 Mg 3.03-3.14, 4 Sn 3.08-3.36
Sn5 0.3270 0.5919 0.5000  4 Mg 3.03-3.14, 4 Sn 3.08-3.36
Sn6 0.8270 0.0919 0.0000  4 Mg 3.03-3.14, 4 Sn 3.08-3.36
Sn7 0.9081 0.8270 0.0000  4 Mg 3.03-3.14, 4 Sn 3.08-3.36
Sn8 0.6730 0.4081 0.5000  4 Mg 3.03-3.14, 4 Sn 3.08-3.36
Mg1 0.1040 0.6346 0.0000  4 Sn 3.03-3.14, 6 Mg 3.16-3.36
Mg2 0.8960 0.3654 0.0000  4 Sn 3.03-3.14, 6 Mg 3.16-3.36
Mg3 0.6346 0.8960 0.0000  4 Sn 3.03-3.14, 6 Mg 3.16-3.36
Mg4 0.6040 0.1346 0.5000  4 Sn 3.03-3.14, 6 Mg 3.16-3.36
Mg5 0.1346 0.3960 0.5000  4 Sn 3.03-3.14, 6 Mg 3.16-3.36
Mg6 0.8654 0.6040 0.5000  4 Sn 3.03-3.14, 6 Mg 3.16-3.36
Mg7 0.3960 0.8654 0.5000  4 Sn 3.03-3.14, 6 Mg 3.16-3.36
Mg8 0.3654 0.1040 0.0000  4 Sn 3.03-3.14, 6 Mg 3.16-3.36

As for the symmetry: I4/m. The formation energy is -0.002 eV/atom. The calculation puts the mass density at 4.57 Mg/m³. The magnetic moment comes out at 0.000 μB per formula unit.


3.
Computed, not measured: a relaxed structure of Mg7Sn at the PBE level of DFT.

Unit cell a=6.3849 b=6.3849 c=6.3849 alpha=60.00 beta=60.00 gamma=60.00
With the nearest neighbours (Å) after each atom.
Fractional coordinates of all 8 atoms:
Mg1 0.5000 0.5000 0.5000  12 Mg 3.19
Mg2 0.0000 0.5000 0.0000  10 Mg 3.19, 2 Sn 3.19
Mg3 0.0000 0.5000 0.5000  10 Mg 3.19, 2 Sn 3.19
Mg4 0.5000 0.0000 0.5000  10 Mg 3.19, 2 Sn 3.19
Mg5 0.5000 0.0000 0.0000  2 Sn 3.19, 10 Mg 3.19
Mg6 0.0000 0.0000 0.5000  10 Mg 3.19, 2 Sn 3.19
Mg7 0.5000 0.5000 0.0000  10 Mg 3.19, 2 Sn 3.19
Sn1 0.0000 0.0000 0.0000  12 Mg 3.19

As for the symmetry: Fm-3m. The formation energy is -0.040 eV/atom. The calculation puts the mass density at 2.61 Mg/m³. The magnetic moment comes out at 0.000 μB per formula unit.


4.
Computed, not measured: a relaxed structure of MgSn at the PBE level of DFT.

Unit cell a=7.4288 b=7.4288 c=4.7176 alpha=90.00 beta=90.00 gamma=145.81
With the nearest neighbours (Å) after each atom.
Fractional coordinates of all 6 atoms:
Sn1 0.6613 0.3387 0.0000  8 Mg 3.02-3.24
Sn2 0.4631 0.5369 0.5000  6 Mg 3.17-3.24, 4 Sn 3.21
Sn3 0.9669 0.0331 0.0000  6 Mg 3.14-3.33, 4 Sn 3.21
Mg1 0.8018 0.1982 0.5000  6 Sn 3.09-3.33, 6 Mg 3.22-3.25
Mg2 0.1320 0.8680 0.5000  8 Sn 3.24-3.33, 4 Mg 3.25-3.44
Mg3 0.3083 0.6917 0.0000  6 Sn 3.02-3.22, 4 Mg 3.22

As for the symmetry: Amm2. The formation energy is -0.086 eV/atom. The calculation puts the mass density at 4.87 Mg/m³. The magnetic moment comes out at 0.000 μB per formula unit.


5.
Computed, not measured: a relaxed structure of Mg3Sn7 at the PBE level of DFT.

Unit cell a=4.5040 b=6.7640 c=8.9756 alpha=103.88 beta=104.53 gamma=90.00
With the nearest neighbours (Å) after each atom.
Fractional coordinates of all 10 atoms:
Mg1 0.8032 0.3946 0.6063  10 Sn 3.15-3.44, 2 Mg 3.44
Mg2 0.1968 0.6054 0.3937  10 Sn 3.15-3.44, 2 Mg 3.44
Mg3 0.0000 0.0000 0.0000  12 Sn 3.24-3.44
Sn1 0.7954 0.8822 0.5909  5 Mg 3.15-3.44, 7 Sn 3.27-3.38
Sn2 0.6060 0.3061 0.2120  5 Mg 3.17-3.33, 7 Sn 3.27-3.48
Sn3 0.5962 0.8139 0.1924  4 Mg 3.24-3.37, 8 Sn 3.26-3.48
Sn4 0.0000 0.5000 0.0000  8 Sn 3.26-3.37, 4 Mg 3.32-3.38
Sn5 0.4038 0.1861 0.8076  4 Mg 3.24-3.37, 8 Sn 3.26-3.48
Sn6 0.3940 0.6939 0.7880  5 Mg 3.17-3.33, 7 Sn 3.27-3.48
Sn7 0.2046 0.1178 0.4091  5 Mg 3.15-3.44, 7 Sn 3.27-3.38

As for the symmetry: C2/m. The formation energy is -0.042 eV/atom. The calculation puts the mass density at 5.85 Mg/m³. The magnetic moment comes out at 0.000 μB per formula unit.


6.
Computed, not measured: a relaxed structure of MgSn at the PBE level of DFT.

Unit cell a=3.4331 b=3.2819 c=8.9741 alpha=90.00 beta=90.00 gamma=90.00
With the nearest neighbours (Å) after each atom.
Fractional coordinates of all 4 atoms:
Mg1 0.5000 0.5000 0.6390  6 Sn 3.02-3.10, 2 Mg 3.28
Mg2 0.5000 0.0000 0.1390  6 Sn 3.02-3.10, 2 Mg 3.28
Sn1 0.0000 0.0000 0.8618  6 Mg 3.02-3.10, 2 Sn 3.28
Sn2 0.0000 0.5000 0.3618  6 Mg 3.02-3.10, 2 Sn 3.28

As for the symmetry: Amm2. The formation energy is -0.081 eV/atom. The calculation puts the mass density at 4.70 Mg/m³. The magnetic moment comes out at 0.000 μB per formula unit.


7.
Computed, not measured: a relaxed structure of MgSn2 at the PBE level of DFT.

Unit cell a=6.4023 b=6.4023 c=6.4023 alpha=52.64 beta=52.64 gamma=52.64
With the nearest neighbours (Å) after each atom.
Fractional coordinates of all 6 atoms:
Mg1 0.1689 0.1689 0.1689  9 Sn 3.28-3.36, 3 Mg 3.28
Mg2 0.8311 0.8311 0.8311  9 Sn 3.28-3.36, 3 Mg 3.28
Sn1 0.0000 0.6708 0.3292  8 Sn 3.24-3.34, 4 Mg 3.31-3.36
Sn2 0.3292 0.0000 0.6708  8 Sn 3.24-3.34, 4 Mg 3.31-3.36
Sn3 0.6708 0.3292 0.0000  8 Sn 3.24-3.34, 4 Mg 3.31-3.36
Sn4 0.5000 0.5000 0.5000  6 Mg 3.28, 6 Sn 3.34

As for the symmetry: R32. The formation energy is -0.029 eV/atom. The calculation puts the mass density at 5.66 Mg/m³. The magnetic moment comes out at 0.000 μB per formula unit.


8.
Computed, not measured: a relaxed structure of Mg4Sn at the PBE level of DFT.

Unit cell a=5.4309 b=5.4309 c=5.4309 alpha=90.00 beta=90.00 gamma=90.00
With the nearest neighbours (Å) after each atom.
Fractional coordinates of all 5 atoms:
Sn1 0.5000 0.5000 0.5000  6 Mg 2.72
Mg1 0.5000 0.5000 0.0000  2 Sn 2.72
Mg2 0.0000 0.5000 0.5000  2 Sn 2.72
Mg3 0.0000 0.0000 0.0000  12 Mg 3.84
Mg4 0.5000 0.0000 0.5000  2 Sn 2.72

As for the symmetry: Pm-3m. The formation energy is 0.347 eV/atom. The calculation puts the mass density at 2.24 Mg/m³. The magnetic moment comes out at 0.000 μB per formula unit.


9.
Computed, not measured: a relaxed structure of Mg5Sn at the PBE level of DFT.

Unit cell a=3.3183 b=3.3183 c=14.9480 alpha=90.00 beta=90.00 gamma=120.00
With the nearest neighbours (Å) after each atom.
Fractional coordinates of all 6 atoms:
Mg1 0.0000 0.0000 0.1633  3 Sn 3.10, 9 Mg 3.16-3.32
Mg2 0.6667 0.3333 0.3316  12 Mg 3.16-3.32
Mg3 0.0000 0.0000 0.8367  3 Sn 3.10, 9 Mg 3.16-3.32
Mg4 0.6667 0.3333 0.6684  12 Mg 3.16-3.32
Mg5 0.0000 0.0000 0.5000  12 Mg 3.16-3.32
Sn1 0.6667 0.3333 0.0000  6 Mg 3.10, 6 Sn 3.32

As for the symmetry: P-6m2. The formation energy is -0.010 eV/atom. The calculation puts the mass density at 2.80 Mg/m³. The magnetic moment comes out at 0.000 μB per formula unit.


10.
Computed, not measured: a relaxed structure of MgSn4 at the PBE level of DFT.

Unit cell a=5.3943 b=5.3943 c=5.3943 alpha=90.00 beta=90.00 gamma=90.00
With the nearest neighbours (Å) after each atom.
Fractional coordinates of all 5 atoms:
Sn1 0.0000 0.5000 0.5000  2 Mg 2.70
Sn2 0.5000 0.0000 0.5000  2 Mg 2.70
Sn3 0.0000 0.0000 0.0000  12 Sn 3.81
Sn4 0.5000 0.5000 0.0000  2 Mg 2.70
Mg1 0.5000 0.5000 0.5000  6 Sn 2.70

As for the symmetry: Pm-3m. The formation energy is 0.428 eV/atom. The calculation puts the mass density at 5.28 Mg/m³. The magnetic moment comes out at 0.000 μB per formula unit.


11.
Computed, not measured: a relaxed structure of MgSn2 at the PBE level of DFT.

Unit cell a=6.6463 b=6.6463 c=7.5134 alpha=73.78 beta=73.78 gamma=28.64
With the nearest neighbours (Å) after each atom.
Fractional coordinates of all 6 atoms:
Mg1 0.4722 0.4722 0.8003  8 Sn 3.16-3.30, 3 Mg 3.28-3.29
Mg2 0.5278 0.5278 0.1997  8 Sn 3.16-3.30, 3 Mg 3.28-3.29
Sn1 0.1318 0.1318 0.4639  4 Mg 3.16-3.21, 6 Sn 3.25-3.35
Sn2 0.8682 0.8682 0.5361  4 Mg 3.16-3.21, 6 Sn 3.25-3.35
Sn3 0.8197 0.8197 0.1343  4 Mg 3.16-3.30, 7 Sn 3.25-3.48
Sn4 0.1803 0.1803 0.8657  4 Mg 3.16-3.30, 7 Sn 3.25-3.48

As for the symmetry: C2/m. The formation energy is -0.043 eV/atom. The calculation puts the mass density at 5.71 Mg/m³. The magnetic moment comes out at 0.000 μB per formula unit.


12.
Computed, not measured: a relaxed structure of Mg5Sn at the PBE level of DFT.

Unit cell a=5.5467 b=5.5461 c=5.5860 alpha=100.41 beta=119.77 gamma=68.66
With the nearest neighbours (Å) after each atom.
Fractional coordinates of all 6 atoms:
Sn1 0.9721 0.0000 0.9442  12 Mg 3.13-3.23
Mg1 0.8042 0.5000 0.6084  10 Mg 3.13-3.26, 2 Sn 3.22
Mg2 0.6388 0.0000 0.2777  9 Mg 3.13-3.23, 3 Sn 3.21-3.23
Mg3 0.3055 0.0000 0.6110  9 Mg 3.13-3.23, 3 Sn 3.21-3.23
Mg4 0.1404 0.5000 0.2807  10 Mg 3.13-3.26, 2 Sn 3.22
Mg5 0.4724 0.5000 0.9447  2 Sn 3.13, 10 Mg 3.21-3.22

As for the symmetry: C2/m. The formation energy is -0.067 eV/atom. The calculation puts the mass density at 2.87 Mg/m³. The magnetic moment comes out at 0.000 μB per formula unit.


Q: Which value of mass density does entry 2 give?
A: 4.57 Mg/m³